1.
Crystalline Tb2AgPt9 at its relaxed geometry. Source: the Alexandria database, functional PBE.

abc: 5.4002 5.4002 26.3997
angles: 90.00 90.00 120.00
Last column: nearest neighbours and their distance in Å.
Space group R-3m (No. 166, hexagonal axes)
One atom of each set of equivalent atoms:
Tb 0.0000 0.0000 0.1351 (multiplicity 6)  12 Pt 3.01-3.36
Ag 0.0000 0.0000 0.0000 (multiplicity 3)  6 Pt 3.12
Pt 0.0000 0.0000 0.3326 (multiplicity 6)  6 Pt 2.71-2.76
Pt 0.0000 0.0000 0.5000 (multiplicity 3)  6 Pt 2.67
Pt 0.0045 0.5022 0.9148 (multiplicity 18)  7 Pt 2.66-2.76

## Properties
ΔE to the lowest computed polymorph   39.7 kJ/mol of formula units
DOS at the Fermi energy   9.183 states/eV/f.u.

---

2.
Crystalline Tb12Ag6Pt at its relaxed geometry. Source: the Alexandria database, functional PBE.

abc: 11.4673 11.4673 13.6120
angles: 90.00 90.00 120.00
Last column: nearest neighbours and their distance in Å.
Space group R-3 (No. 148, hexagonal axes)
One atom of each set of equivalent atoms:
Tb 0.0217 0.1845 0.3521 (multiplicity 18)  1 Pt 2.84, 2 Ag 3.05
Tb 0.0524 0.8519 0.8992 (multiplicity 18)  4 Ag 3.05-3.31, 1 Tb 3.37
Ag 0.0110 0.4121 0.2184 (multiplicity 18)  8 Tb 3.05-3.39
Pt 0.0000 0.0000 0.5000 (multiplicity 3)  6 Tb 2.84

## Properties
DOS at the Fermi energy   15.622 states/eV/f.u.
Final energy   -4.325 eV per atom

---

3.
Crystalline Tb3Ag2Pt3 at its relaxed geometry. Source: the Alexandria database, functional PBE.

abc: 8.5274 8.5274 5.6943
angles: 90.00 90.00 120.00
Last column: nearest neighbours and their distance in Å.
Space group P6_3/mcm (No. 193)
One atom of each set of equivalent atoms:
Tb 0.0000 0.2981 0.2500 (multiplicity 6)  5 Pt 2.87-2.90
Ag 0.3333 0.6667 0.0000 (multiplicity 4)  2 Ag 2.85, 6 Pt 3.07
Pt 0.0000 0.3644 0.7500 (multiplicity 6)  5 Tb 2.87-2.90, 4 Ag 3.07

## Properties
DOS at the Fermi energy   4.668 states/eV/f.u.
Final energy   -5.565 eV per atom

---

4.
Crystalline Tb2AgPt2 at its relaxed geometry. Source: the Alexandria database, functional PBE.

abc: 7.6742 7.6742 3.7301
angles: 90.00 90.00 90.00
Last column: nearest neighbours and their distance in Å.
Space group P4/mbm (No. 127)
One atom of each set of equivalent atoms:
Tb 0.1676 0.3324 0.0000 (multiplicity 4)  6 Pt 2.86-2.98
Ag 0.0000 0.0000 0.5000 (multiplicity 2)  4 Pt 3.00
Pt 0.1326 0.6326 0.5000 (multiplicity 4)  6 Tb 2.86-2.98, 1 Pt 2.88, 2 Ag 3.00

## Properties
DOS at the Fermi energy   2.027 states/eV/f.u.
Final energy   -5.835 eV per atom

---

Q: The highest DOS at the Fermi energy belongs to which entry?
A: Tb12Ag6Pt

---

Q: What is the DOS at the Fermi energy in the second record?
A: 15.622 states/eV/f.u.

---

Repeat the fourth record exactly.
Crystalline Tb2AgPt2 at its relaxed geometry. Source: the Alexandria database, functional PBE.

abc: 7.6742 7.6742 3.7301
angles: 90.00 90.00 90.00
Last column: nearest neighbours and their distance in Å.
Space group P4/mbm (No. 127)
One atom of each set of equivalent atoms:
Tb 0.1676 0.3324 0.0000 (multiplicity 4)  6 Pt 2.86-2.98
Ag 0.0000 0.0000 0.5000 (multiplicity 2)  4 Pt 3.00
Pt 0.1326 0.6326 0.5000 (multiplicity 4)  6 Tb 2.86-2.98, 1 Pt 2.88, 2 Ag 3.00

## Properties
DOS at the Fermi energy   2.027 states/eV/f.u.
Final energy   -5.835 eV per atom